# 1
ScTl2HgCl6: relaxed, PBE.

a b c (Å): 7.556 7.556 7.556
angles (deg): 60.00 60.00 60.00
Fractional coordinates of all 10 atoms:
Cl 0.767 0.233 0.233
Cl 0.233 0.767 0.233
Cl 0.767 0.767 0.233
Cl 0.233 0.233 0.767
Cl 0.767 0.233 0.767
Cl 0.233 0.767 0.767
Hg 0.500 0.500 0.500
Sc 0.000 0.000 0.000
Tl 0.250 0.250 0.250
Tl 0.750 0.750 0.750

Calculated total energy = -34.835 eV per formula unit

---

# 2
SiHg3Se2Cl6: relaxed, PBE.

a b c (Å): 8.393 8.393 5.998
angles (deg): 90.00 90.00 120.00
Fractional coordinates of all 12 atoms:
Cl 0.125 0.250 0.285
Cl 0.125 0.875 0.285
Cl 0.750 0.875 0.285
Cl 0.250 0.125 0.715
Cl 0.875 0.125 0.715
Cl 0.875 0.750 0.715
Hg 0.500 0.000 0.000
Hg 0.000 0.500 0.000
Hg 0.500 0.500 0.000
Se 0.333 0.667 0.139
Se 0.667 0.333 0.861
Si 0.000 0.000 0.500

Calculated total energy = -31.240 eV per formula unit

---

# 3
Tl2SnHgCl6: relaxed, PBE.

a b c (Å): 7.649 7.649 7.649
angles (deg): 60.00 60.00 60.00
Fractional coordinates of all 10 atoms:
Cl 0.748 0.252 0.252
Cl 0.252 0.748 0.252
Cl 0.748 0.748 0.252
Cl 0.252 0.252 0.748
Cl 0.748 0.252 0.748
Cl 0.252 0.748 0.748
Hg 0.500 0.500 0.500
Sn 0.000 0.000 0.000
Tl 0.250 0.250 0.250
Tl 0.750 0.750 0.750

Calculated total energy = -28.552 eV per formula unit

---

# 4
TbHg2Cl8: relaxed, PBE.

a b c (Å): 8.070 8.070 8.070
angles (deg): 132.81 132.81 68.95
Site moments in Bohr magnetons follow the coordinates.
Fractional coordinates of all 11 atoms:
Cl 0.024 0.386 0.074  0.07
Cl 0.714 0.278 0.116  0.12
Cl 0.050 0.976 0.362  0.07
Cl 0.722 0.837 0.436  0.11
Cl 0.401 0.286 0.564  0.12
Cl 0.614 0.688 0.638  0.07
Cl 0.163 0.599 0.884  0.12
Cl 0.312 0.950 0.926  0.07
Hg 0.319 0.319 0.000  0.02
Hg 0.681 0.681 0.000  0.02
Tb 0.000 0.000 0.000  -0.01

Calculated total energy = -30.727 eV per formula unit